# 1
Entry from the Alexandria database: a relaxed U3Tl3BiTe8 crystal (PBE).

abc: 8.9665 8.9657 9.7072
angles: 117.32 89.97 120.25
With the nearest neighbours (Å) after each atom.
Fractional positions:
U 0.5000 0.0000 0.5000  6 Te 3.11-3.14
U 0.5000 0.5000 0.5000  6 Te 3.11-3.14
U 0.0000 0.5000 0.5000  6 Te 3.11-3.14
Tl 0.0000 0.0000 0.0000  6 Te 3.48-3.51
Tl 0.0000 0.5000 0.0000  6 Te 3.48-3.51
Tl 0.5000 0.5000 0.0000  6 Te 3.48-3.51
Bi 0.0000 0.0000 0.5000  6 Te 3.19
Te 0.2610 0.5226 0.2835  3 U 3.14, 3 Tl 3.48
Te 0.7390 0.4774 0.7165  3 U 3.14, 3 Tl 3.48
Te 0.7569 0.5139 0.2835  2 U 3.11, 1 Bi 3.19
Te 0.2431 0.4861 0.7165  2 U 3.11, 1 Bi 3.19
Te 0.7571 0.0271 0.2843  2 U 3.11, 1 Bi 3.19
Te 0.2429 0.9729 0.7157  2 U 3.11, 1 Bi 3.19
Te 0.2697 0.0267 0.2836  2 U 3.11, 1 Bi 3.19
Te 0.7303 0.9733 0.7164  2 U 3.11, 1 Bi 3.19

For the magnetic moment, the calculation gives 2.65 Bohr magnetons per cell. The calculation puts the calculated volume at 38.1 Å³/atom. As for the uncorrected formation energy: -0.47 eV/atom. Its final energy is -5.14 eV/atom. As for the space group: C2/m (12).

# 2
Entry from the Alexandria database: a relaxed U3Tl4BiTe8 crystal (PBE).

abc: 8.9340 9.7525 8.9279
angles: 117.22 120.02 90.00
With the nearest neighbours (Å) after each atom.
Fractional positions:
U 0.5000 0.5000 0.0000  6 Te 3.13-3.14
U 0.5000 0.5000 0.5000  6 Te 3.13-3.14
U 0.0000 0.5000 0.5000  6 Te 3.13-3.14
Tl 0.5000 0.0000 0.0000  6 Te 3.44
Tl 0.5000 0.0000 0.5000  6 Te 3.49
Tl 0.0000 0.0000 0.0000  6 Te 3.49
Tl 0.0000 0.0000 0.5000  6 Te 3.49
Bi 0.0000 0.5000 0.0000  6 Te 3.19
Te 0.2429 0.7187 0.9760  2 U 3.13, 1 Bi 3.19, 3 Tl 3.44-3.49
Te 0.2427 0.7188 0.4854  2 U 3.13, 1 Bi 3.19, 3 Tl 3.44-3.49
Te 0.2612 0.2837 0.5223  3 U 3.14, 3 Tl 3.49
Te 0.7331 0.7187 0.9760  2 U 3.13, 1 Bi 3.19, 3 Tl 3.44-3.49
Te 0.2669 0.2813 0.0240  2 U 3.13, 1 Bi 3.19, 3 Tl 3.44-3.49
Te 0.7388 0.7163 0.4777  3 U 3.14, 3 Tl 3.49
Te 0.7573 0.2812 0.5146  2 U 3.13, 1 Bi 3.19, 3 Tl 3.44-3.49
Te 0.7571 0.2813 0.0240  2 U 3.13, 1 Bi 3.19, 3 Tl 3.44-3.49

For the magnetic moment, the calculation gives 8.88 Bohr magnetons per cell. The calculation puts the calculated volume at 35.7 Å³/atom. As for the uncorrected formation energy: -0.45 eV/atom. Its final energy is -4.97 eV/atom. As for the space group: C2/m (12).

# 3
Entry from the Alexandria database: a relaxed Y6Tl2BiTe3 crystal (PBE).

abc: 4.3147 9.0005 9.9854
angles: 106.52 102.48 90.00
With the nearest neighbours (Å) after each atom.
Fractional positions:
Y 0.3319 0.9014 0.6638  2 Tl 3.12, 3 Te 3.13-3.18, 1 Bi 3.14
Y 0.6641 0.5951 0.3282  3 Te 3.06-3.12, 3 Tl 3.09-3.11
Y 0.6681 0.0986 0.3362  2 Tl 3.12, 3 Te 3.13-3.18, 1 Bi 3.14
Y 0.0059 0.2523 0.0119  1 Tl 3.10, 2 Bi 3.11, 3 Te 3.13-3.15
Y 0.9941 0.7477 0.9881  1 Tl 3.10, 2 Bi 3.11, 3 Te 3.13-3.15
Y 0.3359 0.4049 0.6718  3 Te 3.06-3.12, 3 Tl 3.09-3.11
Tl 0.8279 0.6486 0.6558  6 Y 3.09-3.12
Tl 0.1721 0.3514 0.3442  6 Y 3.09-3.12
Bi 0.5000 0.0000 0.0000  6 Y 3.11-3.14
Te 0.5000 0.5000 0.0000  6 Y 3.06-3.13
Te 0.8369 0.1558 0.6737  6 Y 3.12-3.18
Te 0.1631 0.8442 0.3263  6 Y 3.12-3.18

For the magnetic moment, the calculation gives 0.00 Bohr magnetons per cell. The calculation puts the calculated volume at 30.2 Å³/atom. As for the uncorrected formation energy: -0.93 eV/atom. Its final energy is -5.66 eV/atom. As for the space group: C2/m (12).